A plane-wave DFT calculation with meta-GGA SCAN was carried out for a PBEsol-optimized structure of CaSnPd2O.

Lattice parameters (Å, degrees): 4.7782 4.7782 6.1770 90.00 90.00 90.00
With the nearest neighbours (Å) after each atom.
Space group P4/mmm (No. 123)
One atom of each set of equivalent atoms:
Ca 0.0000 0.0000 0.0000 (multiplicity 1)  2 Sn 3.09, 4 O 3.38
Sn 0.0000 0.0000 0.5000 (multiplicity 1)  4 Pd 2.39
Pd 0.0000 0.5000 0.5000 (multiplicity 2)  2 Sn 2.39
O 0.5000 0.5000 0.0000 (multiplicity 1)  4 Ca 3.38

Output
For the density of states at the Fermi level, the calculation gives 0.38 states/eV per atom. The calculation puts the uncorrected formation energy at 0.391 eV per atom. The magnetization comes out at 0.2030 μB per atom. The value obtained for the total DFT energy (no corrections) is -23.08 eV per atom.

A plane-wave DFT calculation with meta-GGA SCAN was carried out for a PBEsol-optimized structure of CaZnPd2O.

Lattice parameters (Å, degrees): 4.3018 4.3018 4.2933 90.00 90.00 90.00
With the nearest neighbours (Å) after each atom.
Space group P4/mmm (No. 123)
One atom of each set of equivalent atoms:
Ca 0.0000 0.0000 0.0000 (multiplicity 1)  2 O 2.15
Zn 0.5000 0.5000 0.0000 (multiplicity 1)  8 Pd 3.04, 4 Ca 3.04
Pd 0.0000 0.5000 0.5000 (multiplicity 2)  2 O 2.15
O 0.0000 0.0000 0.5000 (multiplicity 1)  2 Ca 2.15, 4 Pd 2.15

Output
For the density of states at the Fermi level, the calculation gives 0.34 states/eV per atom. The calculation puts the uncorrected formation energy at -0.662 eV per atom. The magnetization comes out at 0.0000 μB per atom. The value obtained for the total DFT energy (no corrections) is -19.65 eV per atom.

A plane-wave DFT calculation with meta-GGA SCAN was carried out for a PBEsol-optimized structure of CaPt3O4.

Lattice parameters (Å, degrees): 5.7774 5.7774 5.7774 90.00 90.00 90.00
With the nearest neighbours (Å) after each atom.
Space group Pm-3n (No. 223)
One atom of each set of equivalent atoms:
Ca 0.0000 0.0000 0.0000 (multiplicity 2)  8 O 2.50
Pt 0.0000 0.2500 0.5000 (multiplicity 6)  4 O 2.04
O 0.2500 0.2500 0.2500 (multiplicity 8)  3 Pt 2.04

Output
For the density of states at the Fermi level, the calculation gives 0.09 states/eV per atom. The calculation puts the uncorrected formation energy at -1.255 eV per atom. The magnetization comes out at 0.0000 μB per atom. The value obtained for the total DFT energy (no corrections) is -31.90 eV per atom.

A plane-wave DFT calculation with meta-GGA SCAN was carried out for a PBEsol-optimized structure of CaPt3O.

Lattice parameters (Å, degrees): 4.3143 4.3143 4.3143 90.00 90.00 90.00
With the nearest neighbours (Å) after each atom.
Space group Pm-3m (No. 221)
One atom of each set of equivalent atoms:
Ca 0.0000 0.0000 0.0000 (multiplicity 1)  12 Pt 3.05
Pt 0.0000 0.5000 0.5000 (multiplicity 3)  2 O 2.16
O 0.5000 0.5000 0.5000 (multiplicity 1)  6 Pt 2.16

Output
For the density of states at the Fermi level, the calculation gives 0.89 states/eV per atom. The calculation puts the uncorrected formation energy at -0.100 eV per atom. The magnetization comes out at 0.0000 μB per atom. The value obtained for the total DFT energy (no corrections) is -45.39 eV per atom.

A plane-wave DFT calculation with meta-GGA SCAN was carried out for a PBEsol-optimized structure of RbCa3O.

Lattice parameters (Å, degrees): 5.2970 5.2970 5.2970 90.00 90.00 90.00
With the nearest neighbours (Å) after each atom.
Space group Pm-3m (No. 221)
One atom of each set of equivalent atoms:
Rb 0.0000 0.0000 0.0000 (multiplicity 1)  12 Ca 3.75
Ca 0.0000 0.5000 0.5000 (multiplicity 3)  2 O 2.65
O 0.5000 0.5000 0.5000 (multiplicity 1)  6 Ca 2.65

Output
For the density of states at the Fermi level, the calculation gives 0.80 states/eV per atom. The calculation puts the uncorrected formation energy at -0.660 eV per atom. The magnetization comes out at 0.0001 μB per atom. The value obtained for the total DFT energy (no corrections) is -11.85 eV per atom.

A plane-wave DFT calculation with meta-GGA SCAN was carried out for a PBEsol-optimized structure of RbCa2Ta3O10.

Lattice parameters (Å, degrees): 3.9030 3.9030 15.0747 90.00 90.00 90.00
With the nearest neighbours (Å) after each atom.
Space group P4/mmm (No. 123)
One atom of each set of equivalent atoms:
Rb 0.0000 0.0000 0.0000 (multiplicity 1)  8 O 3.15
Ca 0.0000 0.0000 0.3498 (multiplicity 2)  8 O 2.48-2.78
Ta 0.5000 0.5000 0.2198 (multiplicity 2)  5 O 1.79-2.00
Ta 0.5000 0.5000 0.5000 (multiplicity 1)  6 O 1.95
O 0.0000 0.5000 0.2478 (multiplicity 4)  2 Ta 2.00
O 0.0000 0.5000 0.5000 (multiplicity 2)  2 Ta 1.95
O 0.5000 0.5000 0.1010 (multiplicity 2)  1 Ta 1.79
O 0.5000 0.5000 0.3704 (multiplicity 2)  1 Ta 1.95

Output
For the density of states at the Fermi level, the calculation gives 0.00 states/eV per atom. The calculation puts the uncorrected formation energy at -3.122 eV per atom. The magnetization comes out at 0.0000 μB per atom. The value obtained for the total DFT energy (no corrections) is -22.00 eV per atom.

A plane-wave DFT calculation with meta-GGA SCAN was carried out for a PBEsol-optimized structure of Rb2CaV2O7.

Lattice parameters (Å, degrees): 10.2674 5.9640 14.9158 90.00 115.98 90.00
With the nearest neighbours (Å) after each atom.
Space group P2_1/c (No. 14)
One atom of each set of equivalent atoms:
Rb 0.0075 0.2196 0.3778 (multiplicity 4)  10 O 2.93-3.23
Rb 0.4760 0.7375 0.3301 (multiplicity 4)  8 O 2.91-3.11
Ca 0.2729 0.7393 0.5243 (multiplicity 4)  6 O 2.31-2.38
V 0.1592 0.2312 0.1412 (multiplicity 4)  4 O 1.69-1.80
V 0.3295 0.2307 0.3780 (multiplicity 4)  4 O 1.68-1.81
O 0.0204 0.7045 0.4323 (multiplicity 4)  1 V 1.69
O 0.1769 0.1882 0.7626 (multiplicity 4)  2 V 1.80-1.81
O 0.2270 0.0594 0.5979 (multiplicity 4)  1 V 1.69
O 0.2452 0.5141 0.6464 (multiplicity 4)  1 V 1.69
O 0.2982 0.5298 0.9085 (multiplicity 4)  1 V 1.69
O 0.3311 0.0829 0.9629 (multiplicity 4)  1 V 1.68
O 0.4840 0.2367 0.3629 (multiplicity 4)  1 V 1.70

Output
For the density of states at the Fermi level, the calculation gives 0.00 states/eV per atom. The calculation puts the uncorrected formation energy at -2.754 eV per atom. The magnetization comes out at 0.0000 μB per atom. The value obtained for the total DFT energy (no corrections) is -13.57 eV per atom.

A plane-wave DFT calculation with meta-GGA SCAN was carried out for a PBEsol-optimized structure of CaRh2O4.

Lattice parameters (Å, degrees): 8.9358 3.1147 10.7138 90.00 90.00 90.00
With the nearest neighbours (Å) after each atom.
Space group Pnma (No. 62)
One atom of each set of equivalent atoms:
Ca 0.2333 0.2500 0.1602 (multiplicity 4)  8 O 2.36-2.55
Rh 0.0527 0.2500 0.3834 (multiplicity 4)  6 O 2.03-2.07
Rh 0.0924 0.2500 0.9016 (multiplicity 4)  6 O 2.02-2.07
O 0.0448 0.7500 0.7879 (multiplicity 4)  3 Rh 2.02-2.03
O 0.0873 0.2500 0.5727 (multiplicity 4)  3 Rh 2.05
O 0.1178 0.7500 0.0262 (multiplicity 4)  3 Rh 2.03-2.06
O 0.1916 0.7500 0.3322 (multiplicity 4)  3 Rh 2.07

Output
The calculation puts the uncorrected formation energy at -1.733 eV per atom. The magnetization comes out at 0.0000 μB per atom. The value obtained for the total DFT energy (no corrections) is -16.32 eV per atom.